Record 1
Density functional theory data (PBE) for a relaxed structure of Ac4PdS7.

Calculated values
ΔE_f (raw) (meV/atom): -1823
M_tot (μB per formula unit): 0.0
Total energy (eV/atom): -6.033

Lattice parameters (Å, degrees): 8.333 8.333 11.163 128.52 128.52 33.64
Sites, in units of the cell vectors:
Ac: 0.088 0.088 0.282
Ac: 0.222 0.222 0.828
Ac: 0.778 0.778 0.172
Ac: 0.912 0.912 0.718
Pd: 0.500 0.500 0.500
S: 0.000 0.000 0.500
S: 0.136 0.136 0.050
S: 0.280 0.280 0.636
S: 0.431 0.431 0.235
S: 0.569 0.569 0.765
S: 0.720 0.720 0.364
S: 0.864 0.864 0.950

***

Record 2
Density functional theory data (PBE) for a relaxed structure of SrLi2Nd2Sb2.

Calculated values
ΔE_f (raw) (meV/atom): -621
M_tot (μB per formula unit): 0.0
Total energy (eV/atom): -3.948

Lattice parameters (Å, degrees): 10.029 10.029 10.029 28.00 28.00 28.00
Sites, in units of the cell vectors:
Sr: 0.000 0.000 0.000
Li: 0.414 0.414 0.414
Li: 0.586 0.586 0.586
Nd: 0.133 0.133 0.133
Nd: 0.867 0.867 0.867
Sb: 0.258 0.258 0.258
Sb: 0.742 0.742 0.742

***

Record 3
Density functional theory data (PBE) for a relaxed structure of Er4In2Bi.

Calculated values
M_tot (μB per formula unit): 0.0
Total energy (eV/atom): -4.324

Lattice parameters (Å, degrees): 5.772 6.530 10.803 90.00 104.35 90.00
Sites, in units of the cell vectors:
Er: 0.066 0.250 0.141
Er: 0.205 0.750 0.445
Er: 0.374 0.005 0.733
Er: 0.374 0.495 0.733
Er: 0.626 0.505 0.267
Er: 0.626 0.995 0.267
Er: 0.795 0.250 0.555
Er: 0.934 0.750 0.859
In: 0.238 0.250 0.440
In: 0.497 0.750 0.995
In: 0.503 0.250 0.005
In: 0.762 0.750 0.560
Bi: 0.075 0.750 0.159
Bi: 0.925 0.250 0.841

***

Record 4
Density functional theory data (PBE) for a relaxed structure of AcCe2Sc.

Calculated values
Distance to the lowest polymorph of the same formula (meV/atom): 6
M_tot (μB per formula unit): 2.0
Total energy (eV/atom): -5.404

Lattice parameters (Å, degrees): 3.608 3.608 9.756 90.00 90.00 90.00
Sites, in units of the cell vectors:
Ac: 0.000 0.000 0.000
Ce: 0.500 0.500 0.274
Ce: 0.500 0.500 0.726
Sc: 0.000 0.000 0.500

***

Record 5
Density functional theory data (PBE) for a relaxed structure of Th3Zn2Ag.

Calculated values
M_tot (μB per formula unit): 0.0
Total energy (eV/atom): -4.740

Lattice parameters (Å, degrees): 3.650 3.650 11.328 90.00 90.00 90.00
Sites, in units of the cell vectors:
Th: 0.000 0.000 0.000
Th: 0.000 0.000 0.325
Th: 0.000 0.000 0.675
Zn: 0.500 0.500 0.164
Zn: 0.500 0.500 0.836
Ag: 0.500 0.500 0.500